Record 1
A relaxed SrBi2P2 crystal, computed with PBE-GGA.

```
data_SrBi2P2
_cell_length_a 8.463
_cell_length_b 8.463
_cell_length_c 3.988
_cell_angle_alpha 90.00
_cell_angle_beta 90.00
_cell_angle_gamma 90.00
_space_group_name_H-M_alt 'P 4/m b m'
_space_group_IT_number 127
_space_group_name_Hall '-P 4 2ab'
loop_
_atom_site_label
_atom_site_type_symbol
_atom_site_fract_x
_atom_site_fract_y
_atom_site_fract_z
Sr1 Sr 0.000 0.000 0.000
Bi1 Bi 0.159 0.341 0.500
P1 P 0.187 0.687 0.000
```

Crystal system = tetragonal

Record 2
A relaxed BaY2TiAl crystal, computed with PBE-GGA.

```
data_BaY2TiAl
_cell_length_a 5.422
_cell_length_b 5.422
_cell_length_c 5.779
_cell_angle_alpha 90.00
_cell_angle_beta 90.00
_cell_angle_gamma 90.00
_space_group_name_H-M_alt 'P 4/m m m'
_space_group_IT_number 123
_space_group_name_Hall '-P 4 2'
loop_
_atom_site_label
_atom_site_type_symbol
_atom_site_fract_x
_atom_site_fract_y
_atom_site_fract_z
Ba1 Ba 0.000 0.000 0.000
Y1 Y 0.000 0.500 0.500
Ti1 Ti 0.000 0.000 0.500
Al1 Al 0.500 0.500 0.000
```

Crystal system = tetragonal

Across the entries above, distance to the lowest polymorph of the same formula takes the values 0.310; 2.192 eV/f.u., respectively.